Entry 1:
Entry from Alexandria via LeMat-Bulk: a relaxed structure of NpScTc2 (PBE).

abc: 4.6483 4.6483 4.6483
angles: 60.00 60.00 60.00
Site moments in Bohr magnetons follow the coordinates.
Fractional positions:
Tc (0.2500, 0.2500, 0.2500)  -0.28
Np (0.0000, 0.0000, 0.0000)  2.96
Sc (0.5000, 0.5000, 0.5000)  0.00
Tc (0.7500, 0.7500, 0.7500)  -0.28

ΔE_f   -0.326 eV per formula unit
Energy above the most stable polymorph in this dataset   0.019 eV per atom

Entry 2:
Entry from Alexandria via LeMat-Bulk: a relaxed structure of NpScTc2 (PBE).

abc: 3.3067 3.3067 6.5499
angles: 90.00 90.00 90.00
Site moments in Bohr magnetons follow the coordinates.
Fractional positions:
Np (0.5000, 0.5000, 0.0000)  2.40
Tc (0.0000, 0.0000, 0.7694)  -0.34
Sc (0.5000, 0.5000, 0.5000)  0.02
Tc (0.0000, 0.0000, 0.2306)  -0.34

ΔE_f   -0.401 eV per formula unit
Energy above the most stable polymorph in this dataset   0.000 eV per atom

Entry 3:
Entry from Alexandria via LeMat-Bulk: a relaxed structure of NpScZnTc (PBE).

abc: 4.7594 4.7594 4.7594
angles: 60.00 60.00 60.00
Site moments in Bohr magnetons follow the coordinates.
Fractional positions:
Tc (0.7500, 0.7500, 0.7500)  -0.37
Sc (0.0000, 0.0000, 0.0000)  0.08
Zn (0.2500, 0.2500, 0.2500)  0.03
Np (0.5000, 0.5000, 0.5000)  3.52

ΔE_f   0.283 eV per formula unit

Entry 4:
Entry from Alexandria via LeMat-Bulk: a relaxed structure of NpScTe3 (PBE).

abc: 4.1569 9.0519 15.6060
angles: 90.00 90.00 90.00
Site moments in Bohr magnetons follow the coordinates.
Fractional positions:
Sc (0.7500, 0.8215, 0.0389)  0.04
Te (0.2500, 0.0029, 0.1172)  -0.05
Sc (0.2500, 0.1785, 0.9611)  0.04
Te (0.7500, 0.3421, 0.0467)  -0.07
Te (0.2500, 0.5029, 0.3828)  -0.05
Sc (0.7500, 0.3215, 0.4611)  0.04
Te (0.7500, 0.4971, 0.6172)  -0.05
Np (0.7500, 0.1484, 0.6994)  3.99
Np (0.2500, 0.3516, 0.1994)  3.99
Te (0.2500, 0.6579, 0.9533)  -0.07
Te (0.2500, 0.3544, 0.7995)  -0.09
Te (0.7500, 0.1456, 0.2995)  -0.09
Sc (0.2500, 0.6785, 0.5389)  0.04
Te (0.7500, 0.9971, 0.8828)  -0.05
Np (0.7500, 0.6484, 0.8006)  3.99
Te (0.2500, 0.1579, 0.5467)  -0.07
Te (0.7500, 0.6456, 0.2005)  -0.09
Te (0.2500, 0.8544, 0.7005)  -0.09
Te (0.7500, 0.8421, 0.4533)  -0.07
Np (0.2500, 0.8516, 0.3006)  3.99

Energy relative to the elements, uncorrected   -911 meV per atom

Entry 5:
Entry from Alexandria via LeMat-Bulk: a relaxed structure of NpScTe6 (PBE).

abc: 4.3303 4.3328 13.1524
angles: 90.00 99.48 90.00
Site moments in Bohr magnetons follow the coordinates.
Fractional positions:
Te (0.0791, 0.0000, 0.1582)  -0.05
Te (0.4188, 0.0000, 0.8375)  -0.01
Te (0.9189, 0.5000, 0.8379)  -0.01
Te (0.2942, 0.5000, 0.5884)  -0.05
Te (0.7090, 0.0000, 0.4181)  -0.10
Sc (0.8294, 0.0000, 0.6587)  -0.01
Np (0.1716, 0.5000, 0.3431)  3.75
Te (0.5791, 0.5000, 0.1581)  -0.05

Energy relative to the elements, uncorrected   -604 meV per atom

Entry 6:
Entry from Alexandria via LeMat-Bulk: a relaxed structure of Np2ScTe5 (PBE).

abc: 5.0893 7.2932 7.2932
angles: 90.00 90.00 90.00
Site moments in Bohr magnetons follow the coordinates.
Fractional positions:
Te (0.0000, 0.2754, 0.2754)  0.07
Te (0.5000, 0.0000, 0.0000)  0.05
Te (0.0000, 0.2754, 0.7246)  0.07
Te (0.0000, 0.7246, 0.2754)  0.07
Np (0.5000, 0.0000, 0.5000)  -4.29
Sc (0.0000, 0.0000, 0.0000)  0.02
Np (0.5000, 0.5000, 0.0000)  -4.29
Te (0.0000, 0.7246, 0.7246)  0.07

Energy relative to the elements, uncorrected   -262 meV per atom

Entry 7:
Entry from Alexandria via LeMat-Bulk: a relaxed structure of Np3ScTe6 (PBE).

abc: 7.1629 8.1338 10.8099
angles: 90.00 93.00 90.00
Site moments in Bohr magnetons follow the coordinates.
Fractional positions:
Np (0.5000, 0.5000, 0.0000)  3.87
Te (0.1563, 0.3326, 0.4215)  -0.10
Np (0.9433, 0.3701, 0.7620)  4.04
Np (0.0567, 0.6299, 0.2380)  4.04
Te (0.8504, 0.6790, 0.9316)  -0.10
Te (0.1496, 0.3210, 0.0684)  -0.10
Sc (0.5000, 0.5000, 0.5000)  0.10
Te (0.3437, 0.8326, 0.0785)  -0.10
Te (0.6496, 0.1790, 0.5684)  -0.10
Te (0.8437, 0.6674, 0.5785)  -0.10
Te (0.3351, 0.5421, 0.7385)  -0.10
Np (0.0000, 0.0000, 0.5000)  3.87
Te (0.6649, 0.4579, 0.2615)  -0.10
Te (0.1649, 0.0421, 0.7615)  -0.10
Np (0.5567, 0.8701, 0.7380)  4.04
Te (0.8351, 0.9579, 0.2385)  -0.10
Np (0.4433, 0.1299, 0.2620)  4.04
Sc (0.0000, 0.0000, 0.0000)  0.10
Te (0.3504, 0.8210, 0.4316)  -0.10
Te (0.6563, 0.1674, 0.9215)  -0.10

Energy relative to the elements, uncorrected   -753 meV per atom

Entry 8:
Entry from Alexandria via LeMat-Bulk: a relaxed structure of Np2ScTl3Te6 (PBE).

abc: 7.6453 7.6453 8.5597
angles: 98.57 98.57 119.94
Site moments in Bohr magnetons follow the coordinates.
Fractional positions:
Te (0.6101, 0.9304, 0.7908)  -0.06
Tl (0.8294, 0.1706, 0.5000)  -0.01
Te (0.3899, 0.0696, 0.2092)  -0.06
Te (0.2491, 0.2491, 0.7870)  -0.06
Sc (0.0000, 0.0000, 0.0000)  0.09
Te (0.9304, 0.6101, 0.7908)  -0.06
Te (0.7509, 0.7509, 0.2130)  -0.06
Te (0.0696, 0.3899, 0.2092)  -0.06
Tl (0.5000, 0.5000, 0.5000)  -0.01
Np (0.6660, 0.3340, 0.0000)  3.98
Np (0.3340, 0.6660, 0.0000)  3.98
Tl (0.1706, 0.8294, 0.5000)  -0.01

Energy relative to the elements, uncorrected   -672 meV per atom

Entry 9:
Entry from Alexandria via LeMat-Bulk: a relaxed structure of NpSc2Tl3Te6 (PBE).

abc: 7.5329 7.5329 8.5022
angles: 98.52 98.52 119.98
Site moments in Bohr magnetons follow the coordinates.
Fractional positions:
Te (0.5820, 0.9303, 0.7921)  -0.03
Tl (0.5000, 0.5000, 0.5000)  0.00
Tl (0.8391, 0.1609, 0.5000)  0.00
Te (0.7189, 0.7189, 0.2037)  -0.03
Tl (0.1609, 0.8391, 0.5000)  0.00
Te (0.2811, 0.2811, 0.7963)  -0.03
Te (0.9303, 0.5820, 0.7921)  -0.03
Np (0.0000, 0.0000, 0.0000)  3.92
Sc (0.6677, 0.3323, 0.0000)  0.06
Sc (0.3323, 0.6677, 0.0000)  0.06
Te (0.4180, 0.0697, 0.2079)  -0.03
Te (0.0697, 0.4180, 0.2079)  -0.03

Energy relative to the elements, uncorrected   -792 meV per atom

Entry 10:
Entry from Alexandria via LeMat-Bulk: a relaxed structure of ThNpSc (PBE).

abc: 5.9066 5.9066 6.3060
angles: 98.74 98.74 132.50
Fractional positions:
Th (0.8519, 0.8519, 0.7038)
Sc (0.6587, 0.3413, 0.0000)
Np (0.7500, 0.2500, 0.5000)
Np (0.2500, 0.7500, 0.5000)
Sc (0.3413, 0.6587, 0.0000)
Th (0.1481, 0.1481, 0.2962)

ΔE_f   1.202 eV per formula unit
Energy above the most stable polymorph in this dataset   0.052 eV per atom

Entry 11:
Entry from Alexandria via LeMat-Bulk: a relaxed structure of ThNpSc (PBE).

abc: 3.3717 3.3717 8.1460
angles: 90.00 90.00 120.00
Site moments in Bohr magnetons follow the coordinates.
Fractional positions:
Np (0.6667, 0.3333, 0.3317)  3.74
Sc (0.0000, 0.0000, 0.0052)  -0.06
Th (0.3333, 0.6667, 0.6631)  -0.08

ΔE_f   1.046 eV per formula unit
Energy above the most stable polymorph in this dataset   0.000 eV per atom

Entry 12:
Entry from Alexandria via LeMat-Bulk: a relaxed structure of NpScTi2 (PBE).

abc: 3.4510 3.4510 6.6506
angles: 90.00 90.00 90.00
Site moments in Bohr magnetons follow the coordinates.
Fractional positions:
Ti (0.0000, 0.0000, 0.7884)  0.02
Np (0.5000, 0.5000, 0.0000)  3.04
Ti (0.0000, 0.0000, 0.2116)  0.02
Sc (0.5000, 0.5000, 0.5000)  -0.09

ΔE_f   0.964 eV per formula unit

Please write out number 8 again, unchanged.
Entry from Alexandria via LeMat-Bulk: a relaxed structure of Np2ScTl3Te6 (PBE).

abc: 7.6453 7.6453 8.5597
angles: 98.57 98.57 119.94
Site moments in Bohr magnetons follow the coordinates.
Fractional positions:
Te (0.6101, 0.9304, 0.7908)  -0.06
Tl (0.8294, 0.1706, 0.5000)  -0.01
Te (0.3899, 0.0696, 0.2092)  -0.06
Te (0.2491, 0.2491, 0.7870)  -0.06
Sc (0.0000, 0.0000, 0.0000)  0.09
Te (0.9304, 0.6101, 0.7908)  -0.06
Te (0.7509, 0.7509, 0.2130)  -0.06
Te (0.0696, 0.3899, 0.2092)  -0.06
Tl (0.5000, 0.5000, 0.5000)  -0.01
Np (0.6660, 0.3340, 0.0000)  3.98
Np (0.3340, 0.6660, 0.0000)  3.98
Tl (0.1706, 0.8294, 0.5000)  -0.01

Energy relative to the elements, uncorrected   -672 meV per atom

Q: What is the formula in the first record?
A: NpScTc2